This record from the Alexandria database describes crystalline CdRe8 at its relaxed geometry. The functional is PBE-GGA.

```
9
Lattice="4.7915 -0.4606 -4.0158 -2.0979 -2.0381 5.5446 -4.0452 -3.3096 -3.4612" Properties=species:S:1:pos:R:3 pbc="T T T"
Re -2.1055 -1.8329 0.7141
Re 2.5755 -0.9680 -0.9408
Re 0.4905 -2.4780 -4.9143
Re 0.3842 -2.8755 -0.1976
Re -1.7359 -2.9327 -1.7348
Re -4.0376 -3.5148 1.3693
Re 0.2558 -1.2922 -2.5627
Re 0.1180 -1.5307 2.4695
Cd 0.0000 0.0000 0.0000
```

Theoretical density, g cm⁻³: 18.9
Magnetization, μB/cell: 0.00
DFT formation energy, eV per atom: 0.242